{
  "formula": "LuMgNO",
  "functional": "PBE",
  "state": "relaxed",
  "lattice": [[3.8236, 0.0000, 0.0000], [0.0000, 6.0990, 0.0000], [0.0000, 0.0000, 4.6264]],
  "species": ["Lu", "Lu", "Mg", "Mg", "N", "N", "O", "O"],
  "fractional_positions": [[0.0000, 0.1841, 0.0000], [0.0000, 0.8159, 0.5000], [0.5000, 0.3272, 0.5082], [0.5000, 0.6728, 0.0082], [0.0000, 0.1798, 0.4972], [0.0000, 0.8202, 0.9972], [0.5000, 0.3444, 0.9858], [0.5000, 0.6556, 0.4858]],
  "relative_energy_mev_per_atom": 34,
  "magnetic_moment_mub_per_cell": 0.000
}